{
  "formula": "Ca2RhSe",
  "functional": "PBE",
  "state": "relaxed",
  "crystal_system": "trigonal",
  "space_group": "R-3m (166)",
  "cell": [[7.8865, 0.0158, 0.0095], [6.9246, 3.7744, 0.0095], [6.9246, 1.7720, 3.3326]],
  "species": ["Ca", "Ca", "Rh", "Se"],
  "frac_coords": [[0.0029, 0.0029, 0.0029], [0.4971, 0.4971, 0.4971], [0.2500, 0.2500, 0.2500], [0.7500, 0.7500, 0.7500]]
}

=====

{
  "formula": "SnSbP",
  "functional": "PBE",
  "state": "relaxed",
  "de_polymorph_mev_per_atom": 0,
  "crystal_system": "monoclinic",
  "space_group": "Cm (8)",
  "cell": [[5.3785, 0.0000, 0.0073], [0.0000, 4.4288, 0.0000], [-2.3334, 0.0000, 14.0612]],
  "species": ["Sn", "Sn", "Sn", "Sn", "Sb", "Sb", "Sb", "Sb", "P", "P", "P", "P"],
  "frac_coords": [[0.9077, 0.0000, 0.8555], [0.9077, 0.5000, 0.3555], [0.1775, 0.0000, 0.6534], [0.1775, 0.5000, 0.1534], [0.7658, 0.0000, 0.0493], [0.7658, 0.5000, 0.5493], [0.4801, 0.0000, 0.2552], [0.4801, 0.5000, 0.7552], [0.2122, 0.0000, 0.3905], [0.2122, 0.5000, 0.8905], [0.4805, 0.0000, 0.5216], [0.4805, 0.5000, 0.0216]]
}

=====

no.,E_tot (eV/atom)
1,-4.567
2,-4.455